Computed, not measured: Cr2OsF2 after structural relaxation at the PBE+U level of DFT.

Properties
VASP energy: -27.705 eV per formula unit
Fermi-level density of states: 3.38 states/eV/f.u.
Distance to the lowest polymorph of the same formula: 0.533 eV/atom
V: 134.75 Å³ per cell

Geometry as CIF:
```
data_Cr2OsF2
_space_group_name_H-M_alt 'P 1'
_space_group_IT_number 1
_cell_length_a 7.119
_cell_length_b 7.119
_cell_length_c 2.659
_cell_angle_alpha 90.00
_cell_angle_beta 90.00
_cell_angle_gamma 90.00
loop_
_space_group_symop_operation_xyz
'x,y,z'
loop_
_atom_site_label
_atom_site_fract_x
_atom_site_fract_y
_atom_site_fract_z
Cr1 0.224 0.724 0.500
Cr2 0.724 0.776 0.500
Cr3 0.776 0.276 0.500
Cr4 0.276 0.224 0.500
Os1 0.000 0.000 0.000
Os2 0.500 0.500 0.000
F1 0.886 0.614 0.000
F2 0.386 0.886 0.000
F3 0.114 0.386 0.000
F4 0.614 0.114 0.000
```